A relaxed structure of Er3In3Ru2. Source: the Alexandria database, functional PBE-GGA.

Cell and atoms, written as POSCAR:
```
Er3In3Ru2
1.0
4.749 0.000 0.000
-0.011 5.108 0.000
-2.368 -1.448 7.701
Er In Ru
3 3 2
Cartesian
0.000 0.000 0.000 Er
-0.002 2.491 2.580 Er
2.371 1.168 5.121 Er
-0.004 3.615 5.694 In
2.369 2.554 0.000 In
2.373 0.044 2.008 In
-0.001 -0.103 3.277 Ru
2.371 3.762 4.424 Ru
```

## Properties
- E_tot: -5.42 eV per atom
- DOS(E_F): 3.65 states/eV/cell

---

A relaxed structure of ErInRu. Source: the Alexandria database, functional PBE-GGA.

Cell and atoms, written as POSCAR:
```
ErInRu
1.0
-1.722 1.722 5.207
1.722 -1.722 5.207
1.722 1.722 -5.207
Er In Ru
1 1 1
Cartesian
0.000 0.000 0.000 Er
0.000 0.000 7.347 In
0.000 0.000 3.623 Ru
```

## Properties
- E_tot: -5.85 eV per atom
- DOS(E_F): 0.42 states/eV/cell

---

A relaxed structure of Er4In3Ru. Source: the Alexandria database, functional PBE-GGA.

Cell and atoms, written as POSCAR:
```
Er4In3Ru
1.0
3.498 0.000 0.000
0.000 3.498 0.000
0.000 0.000 15.812
Er In Ru
4 3 1
Cartesian
0.000 0.000 1.606 Er
0.000 0.000 5.816 Er
0.000 0.000 9.996 Er
0.000 0.000 14.207 Er
1.749 1.749 3.756 In
1.749 1.749 7.906 In
1.749 1.749 12.057 In
1.749 1.749 0.000 Ru
```

## Properties
- E_tot: -4.95 eV per atom
- DOS(E_F): 3.59 states/eV/cell

---

A relaxed structure of Er3InRu2. Source: the Alexandria database, functional PBE-GGA.

Cell and atoms, written as POSCAR:
```
Er3InRu2
1.0
3.438 0.000 0.000
0.000 3.438 0.000
0.000 0.000 10.918
Er In Ru
3 1 2
Cartesian
0.000 0.000 0.000 Er
0.000 0.000 3.270 Er
0.000 0.000 7.648 Er
1.719 1.719 5.459 In
1.719 1.719 1.718 Ru
1.719 1.719 9.199 Ru
```

## Properties
- E_tot: -6.31 eV per atom
- DOS(E_F): 3.38 states/eV/cell

---

A relaxed structure of Er12InRu6. Source: the Alexandria database, functional PBE-GGA.

Cell and atoms, written as POSCAR:
```
Er12InRu6
1.0
-4.873 4.873 4.873
4.873 -4.873 4.873
4.873 4.873 -4.873
Er In Ru
12 1 6
Cartesian
4.873 -1.993 2.986 Er
2.880 1.887 0.000 Er
6.867 1.887 0.000 Er
2.986 4.873 -1.993 Er
1.887 0.000 2.880 Er
0.000 2.880 1.887 Er
4.873 1.993 2.986 Er
2.986 4.873 1.993 Er
1.887 0.000 6.867 Er
-1.993 2.986 4.873 Er
1.993 2.986 4.873 Er
0.000 6.867 1.887 Er
0.000 0.000 0.000 In
4.873 0.000 1.222 Ru
4.873 3.651 0.000 Ru
1.222 4.873 0.000 Ru
3.651 0.000 4.873 Ru
0.000 1.222 4.873 Ru
0.000 4.873 3.651 Ru
```

## Properties
- E_tot: -6.28 eV per atom
- DOS(E_F): 19.94 states/eV/cell

---

A relaxed structure of Er4InRu3. Source: the Alexandria database, functional PBE-GGA.

Cell and atoms, written as POSCAR:
```
Er4InRu3
1.0
4.834 0.000 0.000
0.000 4.834 0.000
0.000 0.000 7.093
Er In Ru
4 1 3
Cartesian
0.000 2.417 1.646 Er
0.000 2.417 5.447 Er
2.417 0.000 1.646 Er
2.417 0.000 5.447 Er
0.000 0.000 3.546 In
0.000 0.000 0.000 Ru
2.417 2.417 0.000 Ru
2.417 2.417 3.546 Ru
```

## Properties
- E_tot: -6.51 eV per atom
- DOS(E_F): 3.87 states/eV/cell

---

A relaxed structure of ErInRu. Source: the Alexandria database, functional PBE-GGA.

Cell and atoms, written as POSCAR:
```
ErInRu
1.0
0.000 3.272 3.272
3.272 0.000 3.272
3.272 3.272 0.000
Er In Ru
1 1 1
Cartesian
0.000 0.000 0.000 Er
3.272 3.272 3.272 In
4.908 4.908 4.908 Ru
```

## Properties
- E_tot: -5.73 eV per atom
- DOS(E_F): 1.26 states/eV/cell

---

A relaxed structure of Er5In2Ru. Source: the Alexandria database, functional PBE-GGA.

Cell and atoms, written as POSCAR:
```
Er5In2Ru
1.0
6.689 0.000 0.000
0.000 12.466 0.000
0.000 0.000 4.936
Er In Ru
10 4 2
Cartesian
0.000 0.000 0.000 Er
0.758 3.576 0.000 Er
1.144 7.359 2.468 Er
2.201 1.126 2.468 Er
2.587 9.809 0.000 Er
3.345 6.233 0.000 Er
4.102 2.658 0.000 Er
4.488 11.340 2.468 Er
5.545 5.107 2.468 Er
5.931 8.891 0.000 Er
0.817 10.537 2.468 In
2.528 4.304 2.468 In
4.162 8.162 2.468 In
5.872 1.929 2.468 In
0.000 6.233 0.000 Ru
3.345 0.000 0.000 Ru
```

## Properties
- DOS(E_F): 9.40 states/eV/cell
- Offset from the most stable computed form: 0 meV/atom

---

A relaxed structure of ErIn3Ru. Source: the Alexandria database, functional PBE-GGA.

Cell and atoms, written as POSCAR:
```
ErIn3Ru
1.0
3.812 2.201 5.029
-3.812 2.201 5.029
0.000 -4.401 5.029
Er In Ru
2 6 2
Cartesian
0.000 0.000 0.000 Er
0.000 0.000 7.544 Er
-1.994 -2.759 7.115 In
-1.817 -0.559 4.600 In
1.392 -1.294 4.600 In
0.425 1.853 4.600 In
-1.392 3.107 7.115 In
3.387 -0.348 7.115 In
0.000 0.000 2.640 Ru
0.000 0.000 10.184 Ru
```

## Properties
- DOS(E_F): 9.66 states/eV/cell
- Offset from the most stable computed form: 281 meV/atom

---

A relaxed structure of Er2InSi2Ru5. Source: the Alexandria database, functional PBE-GGA.

Cell and atoms, written as POSCAR:
```
Er2InSi2Ru5
1.0
10.042 0.000 0.000
0.000 10.042 0.000
0.000 0.000 3.288
Er In Si Ru
4 2 4 10
Cartesian
1.744 3.277 0.000 Er
3.277 8.298 0.000 Er
6.766 1.744 0.000 Er
8.298 6.766 0.000 Er
0.000 0.000 0.000 In
5.021 5.021 0.000 In
1.262 6.284 0.000 Si
3.759 1.262 0.000 Si
6.284 8.780 0.000 Si
8.780 3.759 0.000 Si
0.000 5.021 1.644 Ru
0.695 7.890 1.644 Ru
2.152 0.695 1.644 Ru
2.869 5.716 1.644 Ru
4.326 2.869 1.644 Ru
5.021 0.000 1.644 Ru
5.716 7.173 1.644 Ru
7.173 4.326 1.644 Ru
7.890 9.347 1.644 Ru
9.347 2.152 1.644 Ru
```

## Properties
- DOS(E_F): 14.21 states/eV/cell
- Formation energy without anion corrections: -0.6009 eV per atom

---

A relaxed structure of YErInRu. Source: the Alexandria database, functional PBE-GGA.

Cell and atoms, written as POSCAR:
```
YErInRu
1.0
0.000 3.567 3.567
3.567 0.000 3.567
3.567 3.567 0.000
Y Er In Ru
1 1 1 1
Cartesian
0.000 0.000 0.000 Y
3.567 3.567 3.567 Er
1.784 1.784 1.784 In
5.351 5.351 5.351 Ru
```

## Properties
- DOS(E_F): 2.94 states/eV/cell
- Offset from the most stable computed form: 126 meV/atom

---

A relaxed structure of YErInRu. Source: the Alexandria database, functional PBE-GGA.

Cell and atoms, written as POSCAR:
```
YErInRu
1.0
3.462 0.000 0.000
0.000 3.462 0.000
0.000 0.000 7.704
Y Er In Ru
1 1 1 1
Cartesian
0.000 0.000 0.000 Y
0.000 0.000 4.416 Er
1.731 1.731 2.229 In
1.731 1.731 6.009 Ru
```

## Properties
- DOS(E_F): 3.14 states/eV/cell
- Offset from the most stable computed form: 0 meV/atom

---

A relaxed structure of ErZnInRu. Source: the Alexandria database, functional PBE-GGA.

Cell and atoms, written as POSCAR:
```
ErZnInRu
1.0
0.000 3.354 3.354
3.354 0.000 3.354
3.354 3.354 0.000
Er Zn In Ru
1 1 1 1
Cartesian
0.000 0.000 0.000 Er
5.031 5.031 5.031 Zn
3.354 3.354 3.354 In
1.677 1.677 1.677 Ru
```

## Properties
- E_tot: -4.64 eV per atom
- DOS(E_F): 3.33 states/eV/cell

---

A relaxed structure of Er4InS2. Source: the Alexandria database, functional PBE-GGA.

Cell and atoms, written as POSCAR:
```
Er4InS2
1.0
1.952 -6.515 0.000
1.952 6.515 0.000
0.000 0.000 13.377
Er In S
8 2 4
Cartesian
0.000 0.000 0.000 Er
0.000 0.000 6.688 Er
1.952 3.058 8.243 Er
1.952 3.058 11.822 Er
1.952 0.986 3.344 Er
1.952 -0.986 10.033 Er
1.952 -3.058 1.555 Er
1.952 -3.058 5.133 Er
1.952 5.130 3.344 In
1.952 -5.130 10.033 In
1.952 1.746 0.768 S
1.952 1.746 5.920 S
1.952 -1.746 7.456 S
1.952 -1.746 12.609 S
```

## Properties
- DOS(E_F): 9.89 states/eV/cell
- Formation energy without anion corrections: -1.2857 eV per atom

---

A relaxed structure of Er3InS. Source: the Alexandria database, functional PBE-GGA.

Cell and atoms, written as POSCAR:
```
Er3InS
1.0
8.934 0.000 0.000
0.000 3.869 0.000
0.000 0.000 14.679
Er In S
12 4 4
Cartesian
0.296 0.967 1.653 Er
1.482 0.967 7.477 Er
1.898 2.902 4.156 Er
2.569 0.967 11.495 Er
2.985 2.902 0.138 Er
4.171 2.902 8.992 Er
4.763 0.967 5.686 Er
5.949 0.967 14.541 Er
6.365 2.902 3.184 Er
7.036 0.967 10.523 Er
7.452 2.902 7.202 Er
8.638 2.902 13.026 Er
0.580 2.902 9.850 In
3.887 0.967 2.511 In
5.046 2.902 12.168 In
8.354 0.967 4.829 In
1.397 0.967 13.872 S
3.070 2.902 6.532 S
5.864 0.967 8.146 S
7.537 2.902 0.807 S
```

## Properties
- DOS(E_F): 14.41 states/eV/cell
- Formation energy without anion corrections: -1.0026 eV per atom
- Offset from the most stable computed form: 0 meV/atom

---

A relaxed structure of Er6InS4. Source: the Alexandria database, functional PBE-GGA.

Cell and atoms, written as POSCAR:
```
Er6InS4
1.0
1.942 -6.496 0.000
1.942 6.496 0.000
0.000 0.000 19.875
Er In S
12 2 8
Cartesian
0.000 0.000 0.000 Er
0.000 0.000 9.937 Er
1.942 4.550 14.906 Er
1.942 2.972 1.683 Er
1.942 2.972 8.255 Er
1.942 0.517 13.076 Er
1.942 0.517 16.736 Er
1.942 -0.517 3.139 Er
1.942 -0.517 6.799 Er
1.942 -2.972 11.620 Er
1.942 -2.972 18.192 Er
1.942 -4.550 4.969 Er
1.942 4.340 4.969 In
1.942 -4.340 14.906 In
1.942 5.282 12.339 S
1.942 5.282 17.474 S
1.942 1.791 10.712 S
1.942 1.791 19.100 S
1.942 -1.791 0.775 S
1.942 -1.791 9.163 S
1.942 -5.282 2.401 S
1.942 -5.282 7.536 S
```

## Properties
- DOS(E_F): 13.45 states/eV/cell
- Formation energy without anion corrections: -1.5363 eV per atom

---

A relaxed structure of ErInS3. Source: the Alexandria database, functional PBE-GGA.

Cell and atoms, written as POSCAR:
```
ErInS3
1.0
6.749 0.000 0.000
0.000 4.039 0.000
-2.079 0.000 10.354
Er In S
2 2 6
Cartesian
-0.645 1.010 3.460 Er
5.315 3.029 6.894 Er
1.512 1.010 8.269 In
3.157 3.029 2.085 In
0.757 3.029 2.398 S
0.219 1.010 6.010 S
0.299 3.029 9.110 S
4.371 1.010 1.244 S
4.451 3.029 4.343 S
3.912 1.010 7.956 S
```

## Properties
- DOS(E_F): 0.00 states/eV/cell
- Formation energy without anion corrections: -1.2829 eV per atom

---

A relaxed structure of Er3InS2. Source: the Alexandria database, functional PBE-GGA.

Cell and atoms, written as POSCAR:
```
Er3InS2
1.0
2.441 -6.105 0.000
2.441 6.105 0.000
0.000 0.000 9.425
Er In S
6 2 4
Cartesian
2.441 4.792 7.069 Er
2.441 1.627 5.183 Er
2.441 1.627 8.955 Er
2.441 -1.627 0.470 Er
2.441 -1.627 4.242 Er
2.441 -4.792 2.356 Er
2.441 3.412 2.356 In
2.441 -3.412 7.069 In
0.000 0.000 0.000 S
0.000 0.000 4.713 S
2.441 0.386 2.356 S
2.441 -0.386 7.069 S
```

## Properties
- DOS(E_F): 6.19 states/eV/cell
- Formation energy without anion corrections: -1.2232 eV per atom

---

A relaxed structure of Er3InS6. Source: the Alexandria database, functional PBE-GGA.

Cell and atoms, written as POSCAR:
```
Er3InS6
1.0
5.320 -6.660 0.000
5.320 6.660 0.000
0.000 0.000 6.567
Er In S
6 2 12
Cartesian
5.320 5.393 3.283 Er
3.335 1.312 3.866 Er
3.335 -1.312 0.582 Er
7.305 1.312 3.866 Er
7.305 -1.312 0.582 Er
5.320 -5.393 0.000 Er
5.320 2.691 0.744 In
5.320 -2.691 4.027 In
3.476 3.638 2.113 S
1.731 0.419 1.920 S
1.731 -0.419 5.203 S
5.320 2.930 4.875 S
7.164 3.638 2.113 S
5.320 0.435 1.876 S
5.320 -0.435 5.159 S
3.476 -3.638 5.396 S
5.320 -2.930 1.592 S
8.909 0.419 1.920 S
8.909 -0.419 5.203 S
7.164 -3.638 5.396 S
```

## Properties
- DOS(E_F): 0.00 states/eV/cell
- Formation energy without anion corrections: -1.6788 eV per atom

---

A relaxed structure of ErInS2. Source: the Alexandria database, functional PBE-GGA.

Cell and atoms, written as POSCAR:
```
ErInS2
1.0
1.972 1.138 7.612
-1.972 1.138 7.612
0.000 -2.277 7.612
Er In S
1 1 2
Cartesian
0.000 0.000 0.000 Er
0.000 0.000 18.943 In
0.000 0.000 9.150 S
0.000 0.000 13.753 S
```

## Properties
- Formation energy without anion corrections: -1.3907 eV per atom